Material: SiAu2Cl
Method: DFT, PBE-GGA
State: optimized geometry

Values from the calculation:
DOS(E_F) ... 1.0 states/eV/f.u.
Crystal system ... monoclinic
ΔE_f (raw) ... 0.1612 eV/atom
Spin magnetization ... 0.00 μB per formula unit

```
data_SiAu2Cl
_chemical_formula_sum 'Si1 Au2 Cl1'
_cell_length_a 4.1878
_cell_length_b 4.9691
_cell_length_c 4.1992
_cell_angle_alpha 90.00
_cell_angle_beta 107.59
_cell_angle_gamma 90.00
_symmetry_space_group_name_H-M 'P 1 m 1'
_symmetry_Int_Tables_number 6
loop_
_symmetry_equiv_pos_as_xyz
'x,y,z'
'x,-y,z'
loop_
_atom_site_label
_atom_site_type_symbol
_atom_site_fract_x
_atom_site_fract_y
_atom_site_fract_z
Si1 Si 0.0000 0.0000 0.0000
Au1 Au 0.1431 0.5000 0.8565
Au2 Au 0.3752 0.0000 0.6239
Cl1 Cl 0.6538 0.5000 0.3458
```